Entry from Alexandria via LeMat-Bulk: a relaxed CdNiMo crystal (PBE).

POSCAR file:
```
CdNiMo
1.0
0.000 2.943 2.943
2.943 0.000 2.943
2.943 2.943 0.000
Cd Ni Mo
1 1 1
Direct
0.000 0.000 0.000
0.250 0.250 0.250
0.500 0.500 0.500
```

Theoretical density, g cm⁻³: 8.697
Energy above the lowest structure with this stoichiometry, eV per atom: 0.330
Formation energy from the elements, eV per atom: 0.50
SG: F-43m (216)
M_tot, μB per atom: 0.000

***

Entry from Alexandria via LeMat-Bulk: a relaxed BaZnCd2Co crystal (PBE).

POSCAR file:
```
BaZnCd2Co
1.0
5.111 0.000 0.000
0.000 5.111 0.000
0.000 0.000 4.810
Ba Zn Cd Co
1 1 2 1
Direct
0.000 0.000 0.000
0.500 0.500 0.000
0.000 0.500 0.500
0.500 0.000 0.500
0.500 0.500 0.500
```

Theoretical density, g cm⁻³: 6.429
Formation energy from the elements, eV per atom: -0.05
SG: P4/mmm (123)
M_tot, μB per atom: 0.000

***

Entry from Alexandria via LeMat-Bulk: a relaxed HoErAlPd crystal (PBE).

POSCAR file:
```
HoErAlPd
1.0
0.000 3.551 3.551
3.551 0.000 3.551
3.551 3.551 0.000
Ho Er Al Pd
1 1 1 1
Direct
0.000 0.000 0.000
0.500 0.500 0.500
0.250 0.250 0.250
0.750 0.750 0.750
```

Theoretical density, g cm⁻³: 8.631
Energy above the lowest structure with this stoichiometry, eV per atom: 0.038
Formation energy from the elements, eV per atom: -0.60
SG: F-43m (216)
M_tot, μB per atom: 0.000

***

Entry from Alexandria via LeMat-Bulk: a relaxed YTePt2 crystal (PBE).

POSCAR file:
```
YTePt2
1.0
5.047 -2.013 0.000
5.047 2.013 0.000
-0.761 0.000 4.200
Y Te Pt
1 1 2
Direct
0.000 0.000 0.000
0.747 0.747 0.265
0.277 0.277 0.738
0.532 0.532 0.546
```

Raw formation energy, meV per atom: -668
Theoretical density, g cm⁻³: 11.803
Energy above the lowest structure with this stoichiometry, eV per atom: 0.109
SG: Cm (8)
M_tot, μB per atom: 0.000

***

Entry from Alexandria via LeMat-Bulk: a relaxed MgSbOs crystal (PBE).

POSCAR file:
```
MgSbOs
1.0
2.810 -6.863 0.000
2.810 6.863 0.000
0.000 0.000 6.345
Mg Sb Os
4 4 4
Direct
0.215 0.785 0.931
0.285 0.715 0.431
0.715 0.285 0.569
0.785 0.215 0.069
0.193 0.307 0.750
0.307 0.193 0.250
0.693 0.807 0.750
0.807 0.693 0.250
0.100 0.900 0.602
0.400 0.600 0.102
0.600 0.400 0.898
0.900 0.100 0.398
```

Raw formation energy, meV per atom: 399
Theoretical density, g cm⁻³: 9.126
SG: Cmce (64)
M_tot, μB per atom: 0.000

***

Entry from Alexandria via LeMat-Bulk: a relaxed TbAgI4 crystal (PBE).

POSCAR file:
```
TbAgI4
1.0
7.595 0.000 0.000
0.000 4.373 0.000
-0.519 0.000 7.725
Tb Ag I
1 1 4
Direct
0.000 0.000 0.000
0.000 0.500 0.500
0.212 0.000 0.681
0.247 0.500 0.157
0.753 0.500 0.843
0.788 0.000 0.319
```

Raw formation energy, meV per atom: -986
Theoretical density, g cm⁻³: 5.012
Energy above the lowest structure with this stoichiometry, eV per atom: 0.000
SG: P2/m (10)
M_tot, μB per atom: 0.000

***

Entry from Alexandria via LeMat-Bulk: a relaxed Mn2AgHIr crystal (PBE).

POSCAR file:
```
Mn2AgHIr
1.0
4.046 0.000 0.000
0.000 4.046 0.000
0.000 0.000 3.812
Mn Ag H Ir
2 1 1 1
Direct
0.000 0.500 0.000
0.500 0.000 0.000
0.000 0.000 0.500
0.000 0.000 0.000
0.500 0.500 0.500
```

Theoretical density, g cm⁻³: 10.934
Electronic total energy, Ry/atom: -0.471
SG: P4/mmm (123)
M_tot, μB per atom: 1.560

***

Entry from Alexandria via LeMat-Bulk: a relaxed CuAgIr crystal (PBE).

POSCAR file:
```
CuAgIr
1.0
2.776 0.000 0.000
0.000 2.776 0.000
0.000 0.000 11.554
Cu Ag Ir
2 2 2
Direct
0.250 0.250 0.235
0.750 0.750 0.765
0.250 0.250 0.597
0.750 0.750 0.403
0.250 0.250 0.922
0.750 0.750 0.078
```

Theoretical density, g cm⁻³: 13.561
Energy above the lowest structure with this stoichiometry, eV per atom: 0.000
Formation energy from the elements, eV per atom: 0.08
SG: P4/nmm (129)
M_tot, μB per atom: 0.000

***

Question: What is the theoretical density in the eighth record?
Answer: 13.561 g cm⁻³